# PBE Ba2TlGaCl, relaxed
# - volume (Å³/cell) = 205.63
# - D(E_F) (states/eV/cell) = 4.968
# - uncorrected formation energy (eV per atom) = -0.532
data_Ba2TlGaCl
_cell_length_a 6.0167
_cell_length_b 6.0167
_cell_length_c 5.6802
_cell_angle_alpha 90.00
_cell_angle_beta 90.00
_cell_angle_gamma 90.00
_symmetry_space_group_name_H-M 'P 1'
_symmetry_Int_Tables_number 1
loop_
_symmetry_equiv_pos_as_xyz
'x,y,z'
loop_
_atom_site_label
_atom_site_type_symbol
_atom_site_fract_x
_atom_site_fract_y
_atom_site_fract_z
Ba1 Ba 0.0000 0.5000 0.0000
Ba2 Ba 0.5000 0.0000 0.0000
Tl1 Tl 0.0000 0.0000 0.5000
Ga1 Ga 0.5000 0.5000 0.5000
Cl1 Cl 0.0000 0.0000 0.0000

***

# PBE BaGdCl5, relaxed
# - volume (Å³/cell) = 376.10
# - D(E_F) (states/eV/cell) = 0.000
# - uncorrected formation energy (eV per atom) = -2.376
data_BaGdCl5
_cell_length_a 10.1559
_cell_length_b 10.1559
_cell_length_c 6.9366
_cell_angle_alpha 90.89
_cell_angle_beta 90.89
_cell_angle_gamma 148.23
_symmetry_space_group_name_H-M 'P 1'
_symmetry_Int_Tables_number 1
loop_
_symmetry_equiv_pos_as_xyz
'x,y,z'
loop_
_atom_site_label
_atom_site_type_symbol
_atom_site_fract_x
_atom_site_fract_y
_atom_site_fract_z
Ba1 Ba 0.1725 0.8275 0.7500
Ba2 Ba 0.8275 0.1725 0.2500
Gd1 Gd 0.4234 0.5766 0.7500
Gd2 Gd 0.5766 0.4234 0.2500
Cl1 Cl 0.1259 0.8741 0.2500
Cl2 Cl 0.2259 0.2909 0.4032
Cl3 Cl 0.2909 0.2259 0.9032
Cl4 Cl 0.3050 0.6808 0.0006
Cl5 Cl 0.3192 0.6950 0.4994
Cl6 Cl 0.6808 0.3050 0.5006
Cl7 Cl 0.6950 0.3192 0.9994
Cl8 Cl 0.7091 0.7741 0.0968
Cl9 Cl 0.7741 0.7091 0.5968
Cl10 Cl 0.8741 0.1259 0.7500

***

# PBE BaGeCl3, relaxed
# - volume (Å³/cell) = 212.34
# - D(E_F) (states/eV/cell) = 6.415
# - uncorrected formation energy (eV per atom) = -0.970
data_BaGeCl3
_cell_length_a 5.9659
_cell_length_b 5.9659
_cell_length_c 5.9659
_cell_angle_alpha 90.00
_cell_angle_beta 90.00
_cell_angle_gamma 90.00
_symmetry_space_group_name_H-M 'P 1'
_symmetry_Int_Tables_number 1
loop_
_symmetry_equiv_pos_as_xyz
'x,y,z'
loop_
_atom_site_label
_atom_site_type_symbol
_atom_site_fract_x
_atom_site_fract_y
_atom_site_fract_z
Ba1 Ba 0.0000 0.0000 0.0000
Ge1 Ge 0.5000 0.5000 0.5000
Cl1 Cl 0.0000 0.0000 0.5000
Cl2 Cl 0.0000 0.5000 0.0000
Cl3 Cl 0.5000 0.0000 0.0000

***

# PBE Ba5GeCl5, relaxed
# - volume (Å³/cell) = 421.37
# - D(E_F) (states/eV/cell) = 3.986
# - uncorrected formation energy (eV per atom) = -1.830
data_Ba5GeCl5
_cell_length_a 8.0573
_cell_length_b 8.0573
_cell_length_c 9.2699
_cell_angle_alpha 106.77
_cell_angle_beta 106.77
_cell_angle_gamma 47.55
_symmetry_space_group_name_H-M 'P 1'
_symmetry_Int_Tables_number 1
loop_
_symmetry_equiv_pos_as_xyz
'x,y,z'
loop_
_atom_site_label
_atom_site_type_symbol
_atom_site_fract_x
_atom_site_fract_y
_atom_site_fract_z
Ba1 Ba 0.0000 0.0000 0.0000
Ba2 Ba 0.3414 0.3414 0.6747
Ba3 Ba 0.3423 0.3423 0.1683
Ba4 Ba 0.6577 0.6577 0.8317
Ba5 Ba 0.6586 0.6586 0.3253
Ge1 Ge 0.5000 0.5000 0.0000
Cl1 Cl 0.1748 0.1748 0.3354
Cl2 Cl 0.1758 0.1758 0.8410
Cl3 Cl 0.5000 0.5000 0.5000
Cl4 Cl 0.8242 0.8242 0.1590
Cl5 Cl 0.8252 0.8252 0.6646

***

# PBE Ba2GeCl, relaxed
# - volume (Å³/cell) = 153.28
# - D(E_F) (states/eV/cell) = 2.862
# - uncorrected formation energy (eV per atom) = -1.140
data_Ba2GeCl
_cell_length_a 8.9338
_cell_length_b 8.9338
_cell_length_c 8.9338
_cell_angle_alpha 29.53
_cell_angle_beta 29.53
_cell_angle_gamma 29.53
_symmetry_space_group_name_H-M 'P 1'
_symmetry_Int_Tables_number 1
loop_
_symmetry_equiv_pos_as_xyz
'x,y,z'
loop_
_atom_site_label
_atom_site_type_symbol
_atom_site_fract_x
_atom_site_fract_y
_atom_site_fract_z
Ba1 Ba 0.0000 0.0000 0.0000
Ba2 Ba 0.1763 0.1763 0.1763
Ge1 Ge 0.5883 0.5883 0.5883
Cl1 Cl 0.7581 0.7581 0.7581

***

# PBE Ba3GeCl, relaxed
# - volume (Å³/cell) = 412.30
# - D(E_F) (states/eV/cell) = 5.151
# - uncorrected formation energy (eV per atom) = -1.008
data_Ba3GeCl
_cell_length_a 9.0028
_cell_length_b 4.7219
_cell_length_c 9.8664
_cell_angle_alpha 90.00
_cell_angle_beta 100.58
_cell_angle_gamma 90.00
_symmetry_space_group_name_H-M 'P 1'
_symmetry_Int_Tables_number 1
loop_
_symmetry_equiv_pos_as_xyz
'x,y,z'
loop_
_atom_site_label
_atom_site_type_symbol
_atom_site_fract_x
_atom_site_fract_y
_atom_site_fract_z
Ba1 Ba 0.0908 0.2500 0.3592
Ba2 Ba 0.2103 0.7500 0.0166
Ba3 Ba 0.3994 0.7500 0.6944
Ba4 Ba 0.6006 0.2500 0.3056
Ba5 Ba 0.7897 0.2500 0.9834
Ba6 Ba 0.9092 0.7500 0.6408
Ge1 Ge 0.1583 0.2500 0.7660
Ge2 Ge 0.8417 0.7500 0.2340
Cl1 Cl 0.3589 0.7500 0.3647
Cl2 Cl 0.6411 0.2500 0.6353

***

# PBE BaGe2Cl6, relaxed
# - volume (Å³/cell) = 362.52
# - D(E_F) (states/eV/cell) = 0.000
# - uncorrected formation energy (eV per atom) = -1.296
data_BaGe2Cl6
_cell_length_a 8.4616
_cell_length_b 8.4616
_cell_length_c 8.4616
_cell_angle_alpha 53.43
_cell_angle_beta 53.43
_cell_angle_gamma 53.43
_symmetry_space_group_name_H-M 'P 1'
_symmetry_Int_Tables_number 1
loop_
_symmetry_equiv_pos_as_xyz
'x,y,z'
loop_
_atom_site_label
_atom_site_type_symbol
_atom_site_fract_x
_atom_site_fract_y
_atom_site_fract_z
Ba1 Ba 0.0000 0.0000 0.0000
Ge1 Ge 0.2440 0.2440 0.2440
Ge2 Ge 0.3697 0.3697 0.3697
Cl1 Cl 0.1916 0.3621 0.7094
Cl2 Cl 0.2836 0.9346 0.5824
Cl3 Cl 0.3621 0.7094 0.1916
Cl4 Cl 0.5824 0.2836 0.9346
Cl5 Cl 0.7094 0.1916 0.3621
Cl6 Cl 0.9346 0.5824 0.2836

***

# PBE Ba2GeCl, relaxed
# - volume (Å³/cell) = 131.15
# - D(E_F) (states/eV/cell) = 1.819
# - uncorrected formation energy (eV per atom) = -1.153
data_Ba2GeCl
_cell_length_a 3.9139
_cell_length_b 3.9139
_cell_length_c 8.5614
_cell_angle_alpha 90.00
_cell_angle_beta 90.00
_cell_angle_gamma 90.00
_symmetry_space_group_name_H-M 'P 1'
_symmetry_Int_Tables_number 1
loop_
_symmetry_equiv_pos_as_xyz
'x,y,z'
loop_
_atom_site_label
_atom_site_type_symbol
_atom_site_fract_x
_atom_site_fract_y
_atom_site_fract_z
Ba1 Ba 0.0000 0.0000 0.2358
Ba2 Ba 0.0000 0.0000 0.7642
Ge1 Ge 0.5000 0.5000 0.0000
Cl1 Cl 0.5000 0.5000 0.5000

***

no.,calculated density (g/cm3)
1,4.72
2,4.17
3,2.47
4,3.69
5,4.15
6,4.19
7,2.27
8,4.85